Record 1
This record from the Alexandria database describes a geometry-optimized Ac2CeThP4 structure. The functional is PBE-GGA.

- total magnetic moment (μB per formula unit) = 0.735
- crystal system = monoclinic
- E_form (eV/atom) = -1.491
- density of states at the Fermi level (states/eV/cell) = 6.72

a = 4.2700 Å, b = 7.4434 Å, c = 7.3926 Å
α = 70.64°, β = 90.00°, γ = 90.00°
Last column: magnetic moment on the atom in μB.
Positions (direct):
Ac 0.0000 0.0000 0.0000  0.01
Ac 0.5000 0.0000 0.5000  0.01
P 0.0000 0.7284 0.7569  -0.01
P 0.5000 0.7287 0.2572  -0.01
P 0.5000 0.2713 0.7428  -0.01
P 0.0000 0.2716 0.2431  -0.01
Ce 0.5000 0.5000 0.0000  0.61
Th 0.0000 0.5000 0.5000  0.01



Record 2
This record from the Alexandria database describes a geometry-optimized Pr2ScPaSb4 structure. The functional is PBE-GGA.

- total magnetic moment (μB per formula unit) = 0.526
- raw formation energy (eV/atom) = -0.93
- crystal system = monoclinic
- density of states at the Fermi level (states/eV/cell) = 6.23

a = 4.4219 Å, b = 7.5920 Å, c = 7.6885 Å
α = 109.46°, β = 90.00°, γ = 90.00°
Last column: magnetic moment on the atom in μB.
Positions (direct):
Pr 0.5000 0.0000 0.5000  0.01
Pr 0.0000 0.5000 0.5000  0.01
Sb 0.0000 0.2493 0.7669  -0.01
Sb 0.0000 0.7507 0.2331  -0.01
Sb 0.5000 0.2374 0.2276  -0.01
Sb 0.5000 0.7626 0.7724  -0.01
Sc 0.0000 0.0000 0.0000  0.01
Pa 0.5000 0.5000 0.0000  0.43



Record 3
This record from the Alexandria database describes a geometry-optimized Sb2TeRu structure. The functional is PBE-GGA.

- total magnetic moment (μB per formula unit) = 0.000
- raw formation energy (eV/atom) = 0.38
- crystal system = tetragonal
- density of states at the Fermi level (states/eV/cell) = 3.13

a = 5.0186 Å, b = 5.0186 Å, c = 5.0189 Å
α = 70.71°, β = 70.71°, γ = 109.83°
Positions (direct):
Sb 0.5000 0.5000 0.0000
Sb 0.0000 0.0000 0.0000
Te 0.5000 0.0000 0.5000
Ru 0.0000 0.5000 0.5000



Record 4
This record from the Alexandria database describes a geometry-optimized Pm3Sm2Sn4 structure. The functional is PBE-GGA.

- total magnetic moment (μB per formula unit) = 0.000
- crystal system = monoclinic
- E_form (eV/atom) = -0.754
- density of states at the Fermi level (states/eV/cell) = 13.86

a = 8.1687 Å, b = 8.5389 Å, c = 8.4618 Å
α = 90.00°, β = 90.00°, γ = 111.66°
Positions (direct):
Pm 0.7697 0.7583 0.3328
Pm 0.5000 0.5000 0.0000
Pm 0.0000 0.5000 0.5000
Pm 0.2697 0.7583 0.1672
Pm 0.2303 0.2417 0.6672
Pm 0.7303 0.2417 0.8328
Sn 0.1327 0.5142 0.8655
Sn 0.6738 0.9163 0.0337
Sn 0.3262 0.0837 0.9663
Sn 0.8262 0.0837 0.5337
Sn 0.1738 0.9163 0.4663
Sn 0.3673 0.4858 0.3655
Sn 0.8673 0.4858 0.1345
Sn 0.6327 0.5142 0.6345
Sm 0.0603 0.1968 0.1810
Sm 0.5603 0.1968 0.3190
Sm 0.9397 0.8032 0.8190
Sm 0.4397 0.8032 0.6810



Record 5
This record from the Alexandria database describes a geometry-optimized ScPt2Br structure. The functional is PBE-GGA.

- total magnetic moment (μB per formula unit) = 0.000
- raw formation energy (eV/atom) = -0.54
- crystal system = monoclinic
- density of states at the Fermi level (states/eV/cell) = 1.38

a = 5.1403 Å, b = 5.1403 Å, c = 4.5871 Å
α = 80.50°, β = 80.50°, γ = 38.29°
Positions (direct):
Pt 0.4754 0.4754 0.5260
Pt 0.0246 0.0246 0.9740
Sc 0.7500 0.7500 0.7500
Br 0.2500 0.2500 0.2500



Record 6
This record from the Alexandria database describes a geometry-optimized CrTc2W structure. The functional is PBE-GGA.

- total magnetic moment (μB per formula unit) = 0.001
- crystal system = monoclinic
- E_form (eV/atom) = 0.144
- density of states at the Fermi level (states/eV/cell) = 4.43

a = 5.0568 Å, b = 5.0741 Å, c = 2.6803 Å
α = 79.34°, β = 80.86°, γ = 117.15°
Positions (direct):
Cr 0.5000 0.5000 0.0000
W 0.0000 0.5000 0.5000
Tc 0.0000 0.0000 0.0000
Tc 0.5000 0.0000 0.5000



Record 7
This record from the Alexandria database describes a geometry-optimized Ac2TlSn9 structure. The functional is PBE-GGA.

- total magnetic moment (μB per formula unit) = 0.000
- crystal system = tetragonal
- E_form (eV/atom) = -0.302
- density of states at the Fermi level (states/eV/cell) = 3.81

a = 4.9079 Å, b = 4.9079 Å, c = 14.6575 Å
α = 90.00°, β = 90.00°, γ = 90.00°
Positions (direct):
Sn 0.0000 0.5000 0.5000
Sn 0.5000 0.0000 0.8397
Sn 0.5000 0.0000 0.5000
Sn 0.5000 0.5000 0.3287
Sn 0.0000 0.5000 0.8397
Sn 0.5000 0.5000 0.0000
Sn 0.5000 0.0000 0.1603
Sn 0.0000 0.5000 0.1603
Sn 0.5000 0.5000 0.6713
Ac 0.0000 0.0000 0.3358
Ac 0.0000 0.0000 0.6642
Tl 0.0000 0.0000 0.0000



Record 8
This record from the Alexandria database describes a geometry-optimized U2PaFe structure. The functional is PBE-GGA.

- total magnetic moment (μB per formula unit) = 2.404
- crystal system = tetragonal
- E_form (eV/atom) = 0.126
- density of states at the Fermi level (states/eV/cell) = 8.34

a = 3.4278 Å, b = 3.4278 Å, c = 6.7327 Å
α = 90.00°, β = 90.00°, γ = 90.00°
Last column: magnetic moment on the atom in μB.
Positions (direct):
Pa 0.5000 0.5000 0.5000  0.29
U 0.0000 0.0000 0.8013  1.28
U 0.0000 0.0000 0.1987  1.28
Fe 0.5000 0.5000 0.0000  -0.57



Record 9
This record from the Alexandria database describes a geometry-optimized InGa2Ag3 structure. The functional is PBE-GGA.

- total magnetic moment (μB per formula unit) = 0.000
- crystal system = orthorhombic
- E_form (eV/atom) = 0.004
- density of states at the Fermi level (states/eV/cell) = 3.02

a = 4.1022 Å, b = 5.8684 Å, c = 9.3976 Å
α = 90.00°, β = 90.00°, γ = 90.01°
Positions (direct):
Ag 0.5000 0.1254 0.1693
Ag 0.0000 0.8657 0.0000
Ag 0.5000 0.1343 0.5000
Ag 0.0000 0.8746 0.3307
Ag 0.5000 0.1254 0.8307
Ag 0.0000 0.8746 0.6693
In 0.0000 0.3681 0.0000
In 0.5000 0.6319 0.5000
Ga 0.0000 0.3567 0.6712
Ga 0.0000 0.3567 0.3288
Ga 0.5000 0.6433 0.8288
Ga 0.5000 0.6433 0.1712



Record 10
This record from the Alexandria database describes a geometry-optimized CeScOsRu structure. The functional is PBE-GGA.

- total magnetic moment (μB per formula unit) = 0.000
- crystal system = cubic
- E_form (eV/atom) = -0.346
- density of states at the Fermi level (states/eV/cell) = 3.86

a = 4.7277 Å, b = 4.7277 Å, c = 4.7277 Å
α = 60.00°, β = 60.00°, γ = 60.00°
Positions (direct):
Sc 0.7500 0.7500 0.7500
Os 0.0000 0.0000 0.0000
Ru 0.5000 0.5000 0.5000
Ce 0.2500 0.2500 0.2500



Record 11
This record from the Alexandria database describes a geometry-optimized SmMgGa2Pd2 structure. The functional is PBE-GGA.

- total magnetic moment (μB per formula unit) = 0.000
- crystal system = trigonal
- E_form (eV/atom) = -0.735
- density of states at the Fermi level (states/eV/cell) = 3.93

a = 4.3988 Å, b = 4.3988 Å, c = 6.8217 Å
α = 90.00°, β = 90.00°, γ = 120.00°
Positions (direct):
Pd 0.3333 0.6667 0.3357
Pd 0.6667 0.3333 0.6643
Sm 0.0000 0.0000 0.0000
Mg 0.0000 0.0000 0.5000
Ga 0.3333 0.6667 0.7316
Ga 0.6667 0.3333 0.2684



Record 12
This record from the Alexandria database describes a geometry-optimized Be2AgTe structure. The functional is PBE-GGA.

- total magnetic moment (μB per formula unit) = 0.000
- raw formation energy (eV/atom) = 0.63
- crystal system = orthorhombic
- density of states at the Fermi level (states/eV/cell) = 1.37

a = 4.4507 Å, b = 4.4507 Å, c = 3.5026 Å
α = 90.00°, β = 90.00°, γ = 105.86°
Positions (direct):
Be 0.0000 0.0000 0.0000
Be 0.5000 0.5000 0.0000
Ag 0.0000 0.5000 0.5000
Te 0.5000 0.0000 0.5000